Mg2AsRu2, relaxed, DFT PBE; D(E_F) = 0.346 states/eV per atom; energy of formation = -1.39 eV/f.u.; total magnetic moment = 0.000 μB/cell
1.0
6.2498 0.0000 0.0000
0.0000 6.2498 0.0000
0.0000 0.0000 4.3434
Mg As Ru
4 2 4
Direct
0.1627 0.3373 0.0000 Mg
0.3373 0.8373 0.0000 Mg
0.6627 0.1627 0.0000 Mg
0.8373 0.6627 0.0000 Mg
0.0000 0.0000 0.5000 As
0.5000 0.5000 0.5000 As
0.1457 0.6457 0.5000 Ru
0.3543 0.1457 0.5000 Ru
0.6457 0.8543 0.5000 Ru
0.8543 0.3543 0.5000 Ru